No. 1
Here is Si3SnF at its PBEsol-relaxed geometry from Alexandria. Energies are from SCAN.

```
Si3SnF
1.0
-2.661 2.541 -3.589
-4.393 -1.729 2.034
-0.202 4.120 3.066
Si Sn F
3 1 1
direct
0.000 0.500 0.000
0.500 0.000 0.000
0.000 0.000 0.500
0.000 0.000 0.000
0.500 0.500 0.500
```

## Properties
Crystal system ... cubic
Theoretical density ... 2.71 g/cm³
Energy relative to the elements, uncorrected ... 628.8 kJ/mol of formula units
Raw total energy ... -12.598 eV per atom



No. 2
Here is SiSnF2 at its PBEsol-relaxed geometry from Alexandria. Energies are from SCAN.

```
SiSnF2
1.0
-1.484 1.927 -1.664
-2.615 1.016 0.900
2.564 7.507 3.797
F Sn Si
2 1 1
direct
0.065 0.065 0.804
0.935 0.935 0.196
0.500 0.500 0.500
0.000 0.000 0.000
```

## Properties
Crystal system ... trigonal
Theoretical density ... 4.73 g/cm³
Energy relative to the elements, uncorrected ... -513.7 kJ/mol of formula units
Raw total energy ... -14.585 eV per atom



No. 3
Here is Si2SnF at its PBEsol-relaxed geometry from Alexandria. Energies are from SCAN.

```
Si2SnF
1.0
3.514 0.000 0.000
0.000 3.514 0.000
-1.757 -1.757 11.135
Si Sn F
4 2 2
direct
0.125 0.121 0.750
0.625 0.629 0.750
0.371 0.875 0.250
0.879 0.375 0.250
0.000 0.000 0.000
0.250 0.750 0.500
0.500 0.500 0.000
0.750 0.250 0.500
```

## Properties
Crystal system ... tetragonal
Theoretical density ... 4.68 g/cm³
Energy relative to the elements, uncorrected ... -99.7 kJ/mol of formula units
Raw total energy ... -15.132 eV per atom



Q: The lowest raw total energy belongs to which entry?
A: Si2SnF